A plane-wave DFT calculation with SCAN was carried out for BeMo2Se at its PBEsol-relaxed geometry.

```
BeMo2Se
1.0
0.0000 3.0562 3.0562
3.0562 0.0000 3.0562
3.0562 3.0562 0.0000
Be Mo Se
1 2 1
Cartesian
0.0000 0.0000 0.0000
1.5281 1.5281 1.5281
3.0562 3.0562 3.0562
4.5844 4.5844 4.5844
```

Calculated values
The space group is F-43m (216). As for the energy relative to the lowest polymorph listed for this composition: 146 meV per atom. The value obtained for the final energy is -23.094 eV per atom. The total magnetization comes out at 0.00 μB per cell.

=====

A plane-wave DFT calculation with SCAN was carried out for Be3MoSe at its PBEsol-relaxed geometry.

```
Be3MoSe
1.0
4.2950 0.0000 0.0000
0.0000 4.2950 0.0000
0.0000 0.0000 4.2950
Be Mo Se
3 1 1
Cartesian
0.0000 0.0000 2.1475
0.0000 2.1475 0.0000
2.1475 0.0000 0.0000
0.0000 0.0000 0.0000
2.1475 2.1475 2.1475
```

Calculated values
The space group is Pm-3m (221). The value obtained for the final energy is -12.087 eV per atom. The total magnetization comes out at 0.00 μB per cell.

=====

A plane-wave DFT calculation with SCAN was carried out for Be2TcMoSe at its PBEsol-relaxed geometry.

```
Be2TcMoSe
1.0
4.2191 0.0000 0.0000
0.0000 4.2191 0.0000
0.0000 0.0000 4.6574
Be Tc Mo Se
2 1 1 1
Cartesian
0.0000 2.1096 0.0000
2.1096 0.0000 0.0000
0.0000 0.0000 0.0000
0.0000 0.0000 2.3287
2.1096 2.1096 2.3287
```

Calculated values
The space group is P4/mmm (123). The value obtained for the final energy is -18.661 eV per atom. The total magnetization comes out at 1.67 μB per cell.

=====

A plane-wave DFT calculation with SCAN was carried out for Be2SiMo at its PBEsol-relaxed geometry.

```
Be2SiMo
1.0
-1.6852 1.6852 3.8603
1.6852 -1.6852 3.8603
1.6852 1.6852 -3.8603
Be Si Mo
2 1 1
Cartesian
0.0000 0.0000 0.0000
0.0000 1.6852 1.9301
0.0000 0.0000 3.8603
1.6852 0.0000 1.9301
```

Calculated values
The space group is I-4m2 (119). As for the energy relative to the lowest polymorph listed for this composition: 0 meV per atom. The value obtained for the final energy is -13.745 eV per atom. The total magnetization comes out at 0.00 μB per cell.

=====

A plane-wave DFT calculation with SCAN was carried out for BeSi2Mo at its PBEsol-relaxed geometry.

```
BeSi2Mo
1.0
0.0000 2.9173 2.9173
2.9173 0.0000 2.9173
2.9173 2.9173 0.0000
Be Si Mo
1 2 1
Cartesian
0.0000 0.0000 0.0000
1.4586 1.4586 1.4586
2.9173 2.9173 2.9173
4.3759 4.3759 4.3759
```

Calculated values
The space group is F-43m (216). As for the energy relative to the lowest polymorph listed for this composition: 0 meV per atom. The value obtained for the final energy is -14.338 eV per atom. The total magnetization comes out at 0.05 μB per cell.

=====

A plane-wave DFT calculation with SCAN was carried out for BeSi2Mo at its PBEsol-relaxed geometry.

```
BeSi2Mo
1.0
-3.3078 3.3078 2.4038
3.3078 -3.3078 2.4038
3.3078 3.3078 -2.4038
Be Si Mo
2 4 2
Cartesian
0.0000 0.0000 0.0000
0.0000 3.3078 1.2019
4.9617 1.3834 -0.6010
1.3834 1.6539 0.6010
-1.6539 1.9244 1.8029
1.9244 1.6539 3.0048
3.3078 0.0000 1.2019
0.0000 0.0000 2.4038
```

Calculated values
The space group is I-42d (122). As for the energy relative to the lowest polymorph listed for this composition: 12 meV per atom. The value obtained for the final energy is -14.326 eV per atom. The total magnetization comes out at 0.00 μB per cell.

=====

A plane-wave DFT calculation with SCAN was carried out for Be2SiMo at its PBEsol-relaxed geometry.

```
Be2SiMo
1.0
3.0969 0.0000 0.0000
0.0000 3.0969 0.0000
0.0000 0.0000 4.8753
Be Si Mo
2 1 1
Cartesian
0.0000 0.0000 0.0000
1.5484 1.5484 1.1181
1.5484 1.5484 3.6282
0.0000 0.0000 2.4156
```

Calculated values
The space group is P4mm (99). As for the energy relative to the lowest polymorph listed for this composition: 382 meV per atom. The value obtained for the final energy is -13.363 eV per atom. The total magnetization comes out at 0.00 μB per cell.

=====

A plane-wave DFT calculation with SCAN was carried out for Be2SiMo at its PBEsol-relaxed geometry.

```
Be2SiMo
1.0
2.5220 0.0000 0.0000
0.0000 2.5220 0.0000
0.0000 0.0000 7.4751
Be Si Mo
2 1 1
Cartesian
0.0000 0.0000 1.8699
0.0000 0.0000 5.6052
1.2610 1.2610 0.0000
1.2610 1.2610 3.7376
```

Calculated values
The space group is P4/mmm (123). As for the energy relative to the lowest polymorph listed for this composition: 649 meV per atom. The value obtained for the final energy is -13.096 eV per atom. The total magnetization comes out at 0.00 μB per cell.

=====

A plane-wave DFT calculation with SCAN was carried out for BeSiMo2 at its PBEsol-relaxed geometry.

```
BeSiMo2
1.0
-1.6347 2.0203 3.9049
1.6347 -2.0203 3.9049
1.6347 2.0203 -3.9049
Be Si Mo
1 1 2
Cartesian
0.0000 0.0000 0.0000
0.0000 2.0203 2.1942
1.6347 0.0000 1.9829
0.0000 0.0000 4.0647
```

Calculated values
The space group is Imm2 (44). As for the energy relative to the lowest polymorph listed for this composition: 194 meV per atom. The value obtained for the final energy is -21.102 eV per atom. The total magnetization comes out at 0.00 μB per cell.

=====

A plane-wave DFT calculation with SCAN was carried out for Be2SiMo at its PBEsol-relaxed geometry.

```
Be2SiMo
1.0
2.6602 0.0000 0.0000
0.0000 3.8026 0.0000
0.0000 0.0000 4.5488
Be Si Mo
2 1 1
Cartesian
0.0000 0.0000 1.0437
0.0000 0.0000 3.5051
0.0000 1.9013 2.2744
1.3301 1.9013 0.0000
```

Calculated values
The space group is Pmmm (47). As for the energy relative to the lowest polymorph listed for this composition: 327 meV per atom. The value obtained for the final energy is -13.418 eV per atom. The total magnetization comes out at 0.00 μB per cell.

=====

A plane-wave DFT calculation with SCAN was carried out for BeSiMo2 at its PBEsol-relaxed geometry.

```
BeSiMo2
1.0
0.0000 2.9623 2.9623
2.9623 0.0000 2.9623
2.9623 2.9623 0.0000
Be Si Mo
1 1 2
Cartesian
0.0000 0.0000 0.0000
4.4434 4.4434 4.4434
1.4811 1.4811 1.4811
2.9623 2.9623 2.9623
```

Calculated values
The space group is F-43m (216). As for the energy relative to the lowest polymorph listed for this composition: 227 meV per atom. The value obtained for the final energy is -21.068 eV per atom. The total magnetization comes out at 0.00 μB per cell.

=====

A plane-wave DFT calculation with SCAN was carried out for BeSiMo2 at its PBEsol-relaxed geometry.

```
BeSiMo2
1.0
3.4174 0.0000 0.0000
0.0000 1.6272 4.5441
0.0000 -1.6272 4.5441
Be Si Mo
1 1 2
Cartesian
0.0000 0.0000 0.0000
1.7087 0.0000 7.7507
0.0000 0.0000 2.4451
1.7087 0.0000 5.1524
```

Calculated values
The space group is Amm2 (38). As for the energy relative to the lowest polymorph listed for this composition: 0 meV per atom. The value obtained for the final energy is -21.296 eV per atom. The total magnetization comes out at 0.00 μB per cell.

=====

A plane-wave DFT calculation with SCAN was carried out for Be2SiMo at its PBEsol-relaxed geometry.

```
Be2SiMo
1.0
2.5279 0.0000 0.0000
0.0000 2.5279 0.0000
0.0000 0.0000 7.3106
Be Si Mo
2 1 1
Cartesian
0.0000 0.0000 0.0000
1.2640 1.2640 1.4294
0.0000 0.0000 3.3365
1.2640 1.2640 5.4498
```

Calculated values
The space group is P4mm (99). As for the energy relative to the lowest polymorph listed for this composition: 665 meV per atom. The value obtained for the final energy is -13.081 eV per atom. The total magnetization comes out at 0.00 μB per cell.

=====

A plane-wave DFT calculation with SCAN was carried out for SrBeMo at its PBEsol-relaxed geometry.

```
SrBeMo
1.0
-1.6310 1.6310 5.5298
1.6310 -1.6310 5.5298
1.6310 1.6310 -5.5298
Sr Be Mo
1 1 1
Cartesian
0.0000 0.0000 0.0000
0.0000 0.0000 8.0499
0.0000 0.0000 3.0792
```

Calculated values
The space group is I4mm (107). As for the energy relative to the lowest polymorph listed for this composition: 0 meV per atom. The value obtained for the final energy is -19.773 eV per atom. The total magnetization comes out at 0.00 μB per cell. The formation enthalpy at 0 K is 0.73 eV per atom.

=====

A plane-wave DFT calculation with SCAN was carried out for SrBeMo2 at its PBEsol-relaxed geometry.

```
SrBeMo2
1.0
4.0666 -1.5801 0.0000
4.0666 1.5801 0.0000
-1.1083 0.0000 6.1723
Sr Be Mo
1 1 2
Cartesian
0.0000 0.0000 0.0000
1.3624 0.0000 4.0082
3.7576 0.0000 3.2437
6.0457 0.0000 2.2794
```

Calculated values
The space group is Cm (8). The value obtained for the final energy is -23.470 eV per atom. The total magnetization comes out at 0.00 μB per cell. The formation enthalpy at 0 K is 0.63 eV per atom.